# 1
Tl2PdIBr3 after structural relaxation, computed with GGA-PBE.

Results
* symmetry: No. 71
* volume: 34.295 Å³ per atom
* formation energy from raw total energies: -12.9 kcal/mol of atoms
* magnetic moment: 0.0 μB/cell

a b c (Å): 5.5587 5.3544 8.9414
angles (deg): 107.42 108.11 90.00
Last column: nearest neighbours and their distance in Å.
Fractional positions:
Br 0.1593 0.1593 0.3186  1 Pd 2.57
Tl 0.3603 0.3603 0.7207  3 Br 3.24-3.58, 2 I 3.50
Pd 0.0000 0.0000 0.0000  4 Br 2.57-2.68, 2 I 2.78
I 0.5000 0.0000 0.0000  2 Pd 2.78
Br 0.0000 0.5000 0.0000  2 Pd 2.68
Br 0.8407 0.8407 0.6814  1 Pd 2.57
Tl 0.6397 0.6397 0.2793  3 Br 3.24-3.58, 2 I 3.50



# 2
Sm4MgTe5 after structural relaxation, computed with GGA-PBE.

Results
* symmetry: No. 79
* volume: 30.364 Å³ per atom
* formation energy from raw total energies: -28.9 kcal/mol of atoms
* ΔE to the lowest computed polymorph: 10 meV per atom
* magnetic moment: 0.0 μB/cell

a b c (Å): 6.2319 7.6441 7.6441
angles (deg): 80.44 65.94 65.94
Last column: nearest neighbours and their distance in Å.
Fractional positions:
Sm 0.5906 0.5981 0.2186  6 Te 3.12-3.20
Te 0.8990 0.3802 0.8188  1 Mg 2.94, 5 Sm 3.12-3.20
Sm 0.1887 0.2186 0.4019  6 Te 3.12-3.20
Sm 0.8091 0.7814 0.5981  6 Te 3.12-3.20
Te 0.0980 0.6198 0.1812  1 Mg 2.94, 5 Sm 3.12-3.20
Te 0.7179 0.1812 0.3802  1 Mg 2.94, 5 Sm 3.12-3.20
Te 0.2792 0.8188 0.6198  1 Mg 2.94, 5 Sm 3.12-3.20
Mg 0.0150 0.0000 0.0000  6 Te 2.94-3.18
Sm 0.4072 0.4019 0.7814  6 Te 3.12-3.20
Te 0.5055 0.0000 0.0000  2 Mg 3.06-3.18, 4 Sm 3.19